Record 1
The following is a DFT calculation (PBE-GGA) of a relaxed structure of Pm8Dy3Er2.

Properties
- E above lowest polymorph (kJ/mol of formula units) = 174.8
- space group = P2/m, No. 10
- formation energy (kJ/mol of atoms) = 20.2

Cell: 5.719 7.709 10.839 Å, 110.89 90.01 90.00°
Atoms (fractional coordinates):
Er 0.500 0.760 0.520
Dy 0.000 0.714 0.000
Pm 0.500 0.187 0.787
Er 0.500 0.240 0.480
Pm 0.000 0.868 0.736
Pm 0.500 0.600 0.787
Dy 0.000 0.286 0.000
Pm 0.500 0.813 0.213
Pm 0.000 0.673 0.345
Pm 0.000 0.327 0.655
Pm 0.500 0.400 0.213
Pm 0.000 0.132 0.264
Dy 0.500 0.000 0.000

Record 2
The following is a DFT calculation (PBE-GGA) of a relaxed structure of CaRh2Br.

Properties
- formation energy (no corrections) (eV per atom) = -0.069
- E above lowest polymorph (kJ/mol of formula units) = 94.2
- space group = Pmmm, No. 47

Cell: 3.146 4.828 6.798 Å, 44.72 90.00 90.00°
Atoms (fractional coordinates):
Rh 0.000 0.000 0.000
Ca 0.000 0.000 0.500
Rh 0.500 0.500 0.000
Br 0.500 0.500 0.500

Record 3
The following is a DFT calculation (PBE-GGA) of a relaxed structure of FeAu.

Properties
- space group = Cmcm, No. 63
- formation energy (kJ/mol of atoms) = 13.8

Cell: 2.872 7.378 3.015 Å, 90.00 90.00 78.78°
Atoms (fractional coordinates):
Fe 0.206 0.589 0.750
Au 0.584 0.833 0.250
Au 0.416 0.167 0.750
Fe 0.794 0.411 0.250

Quick rundown of E, same order as above: -58.220; -18.652; -11.453 eV/f.u.